# 1
ZnAgO2F | Alexandria via LeMat-Bulk | PBE | optimized geometry; ΔE_f (raw) = -0.080 eV/atom; total magnetization = 0.000 μB per formula unit; uncorrected energy = -16.312 eV per cell
1.0
4.086 0.000 0.000
0.000 4.086 0.000
0.000 0.000 4.107
Zn Ag O F
1 1 2 1
direct
0.000 0.000 0.000
0.500 0.500 0.500
0.000 0.500 0.500
0.500 0.000 0.500
0.500 0.500 0.000

***

# 2
Pr2CuPN | Alexandria via LeMat-Bulk | PBE | optimized geometry; ΔE_f (raw) = -1.037 eV/atom; total magnetization = 0.000 μB per formula unit; uncorrected energy = -65.153 eV per cell
1.0
6.501 0.000 0.000
0.000 3.852 0.000
-2.492 0.000 7.752
Pr Cu P N
4 2 2 2
direct
0.193 0.250 0.388
0.215 0.250 0.964
0.785 0.750 0.036
0.807 0.750 0.612
0.479 0.750 0.254
0.521 0.250 0.746
0.311 0.750 0.700
0.689 0.250 0.300
0.165 0.750 0.172
0.835 0.250 0.828

***

# 3
Sc2CdCu | Alexandria via LeMat-Bulk | PBE | optimized geometry; E_form = -0.004 eV per atom; total magnetization = 0.818 μB per formula unit; uncorrected energy = -17.692 eV per cell
1.0
0.000 3.378 3.378
3.378 0.000 3.378
3.378 3.378 0.000
Sc Cd Cu
2 1 1
direct
0.000 0.000 0.000
0.250 0.250 0.250
0.750 0.750 0.750
0.500 0.500 0.500

***

# 4
KSrLi2 | Alexandria via LeMat-Bulk | PBE | optimized geometry; E_form = 0.133 eV per atom; total magnetization = 0.000 μB per formula unit; uncorrected energy = -6.075 eV per cell
1.0
4.432 -4.430 0.000
4.432 4.430 0.000
-0.006 0.000 4.187
K Sr Li
1 1 2
direct
0.000 0.000 0.000
0.500 0.500 0.000
0.000 0.500 0.500
0.500 0.000 0.500

***

What is the uncorrected energy in the fourth record?
-6.075 eV per cell

***

Repeat the first record exactly.
ZnAgO2F | Alexandria via LeMat-Bulk | PBE | optimized geometry; ΔE_f (raw) = -0.080 eV/atom; total magnetization = 0.000 μB per formula unit; uncorrected energy = -16.312 eV per cell
1.0
4.086 0.000 0.000
0.000 4.086 0.000
0.000 0.000 4.107
Zn Ag O F
1 1 2 1
direct
0.000 0.000 0.000
0.500 0.500 0.500
0.000 0.500 0.500
0.500 0.000 0.500
0.500 0.500 0.000

***

Look up the total magnetization of the fourth one.
0.000 μB per formula unit

***

Which formula does entry 4 have?
KSrLi2